[1]
CrFeRe2: relaxed, PBE-GGA.

Properties
energy relative to the lowest polymorph listed for this composition: 24 meV/atom
total moment: 2.20 μB per formula unit
calculated volume: 13.57 Å³/atom
total energy: -85.002 eV for the cell shown

abc: 3.046 4.253 8.376
angles: 90.00 90.00 90.00
Element x y z (fractional)
Cr: 0.000 0.000 0.000
Cr: 0.500 0.500 0.000
Fe: 0.000 0.000 0.500
Fe: 0.500 0.500 0.500
Re: 0.000 0.500 0.248
Re: 0.000 0.500 0.752
Re: 0.500 0.000 0.248
Re: 0.500 0.000 0.752

=====

[2]
CrFe14Re: relaxed, PBE-GGA.

Properties
total moment: 30.13 μB per formula unit
calculated volume: 11.75 Å³/atom
total energy: -140.093 eV for the cell shown

abc: 4.967 4.967 8.072
angles: 90.00 90.00 109.26
Element x y z (fractional)
Cr: 0.000 0.000 0.000
Fe: 0.000 0.000 0.500
Fe: 0.000 0.500 0.000
Fe: 0.000 0.500 0.500
Fe: 0.246 0.246 0.252
Fe: 0.246 0.246 0.748
Fe: 0.251 0.749 0.251
Fe: 0.251 0.749 0.749
Fe: 0.500 0.000 0.000
Fe: 0.500 0.000 0.500
Fe: 0.500 0.500 0.500
Fe: 0.749 0.251 0.251
Fe: 0.749 0.251 0.749
Fe: 0.754 0.754 0.252
Fe: 0.754 0.754 0.748
Re: 0.500 0.500 0.000

=====

[3]
CrFe2Re: relaxed, PBE-GGA.

Properties
total moment: 2.00 μB per formula unit
calculated volume: 12.19 Å³/atom
total energy: -38.418 eV for the cell shown

abc: 2.591 2.591 7.267
angles: 90.00 90.00 90.00
Element x y z (fractional)
Cr: 0.000 0.000 0.000
Fe: 0.000 0.000 0.459
Fe: 0.500 0.500 0.227
Re: 0.500 0.500 0.718

=====

[4]
CrFeRe2: relaxed, PBE-GGA.

Properties
energy relative to the lowest polymorph listed for this composition: 61 meV/atom
total moment: 0.49 μB per formula unit
calculated volume: 13.15 Å³/atom
total energy: -42.354 eV for the cell shown

abc: 2.675 2.675 7.356
angles: 90.00 90.00 90.00
Element x y z (fractional)
Cr: 0.000 0.000 0.000
Fe: 0.500 0.500 0.218
Re: 0.000 0.000 0.461
Re: 0.500 0.500 0.746

=====

[5]
CrFeRe2: relaxed, PBE-GGA.

Properties
energy relative to the lowest polymorph listed for this composition: 18 meV/atom
total moment: 2.88 μB per formula unit
calculated volume: 13.34 Å³/atom
total energy: -42.524 eV for the cell shown

abc: 3.026 3.026 5.827
angles: 90.00 90.00 90.00
Element x y z (fractional)
Cr: 0.000 0.000 0.000
Fe: 0.500 0.500 0.224
Re: 0.000 0.000 0.468
Re: 0.500 0.500 0.751

=====

[6]
CrFe2Re: relaxed, PBE-GGA.

Properties
total moment: 4.72 μB per formula unit
calculated volume: 12.40 Å³/atom
total energy: -38.261 eV for the cell shown

abc: 4.118 4.118 2.925
angles: 90.00 90.00 90.00
Element x y z (fractional)
Cr: 0.000 0.000 0.000
Fe: 0.000 0.500 0.500
Fe: 0.500 0.000 0.500
Re: 0.500 0.500 0.000